Entry from the Alexandria database: crystalline TeCl2 at its relaxed geometry (PBE).

extended XYZ file:
```
3
Lattice="4.6890 0.0000 0.0000 -2.3445 4.0608 0.0000 0.0000 0.0000 4.7384" Properties=species:S:1:pos:R:3 pbc="T T T"
Te 0.0000 0.0000 0.0000
Cl 0.0000 2.7072 3.8088
Cl 2.3445 1.3536 0.9295
```

- formation energy without anion corrections (eV/atom) = -0.0470
- space group = P-3m1 (164)

---

Entry from the Alexandria database: crystalline TeCl at its relaxed geometry (PBE).

extended XYZ file:
```
8
Lattice="4.0809 0.0000 0.0000 2.0395 7.3795 0.0000 2.0288 -0.2018 9.3087" Properties=species:S:1:pos:R:3 pbc="T T T"
Te 1.0204 1.3624 1.4757
Te 3.0492 0.5255 7.6369
Te 5.1000 6.6522 1.6718
Te 7.1288 5.8153 7.8330
Cl 3.0467 5.3317 5.4578
Cl 3.0600 4.7439 1.6465
Cl 5.0892 2.4338 7.6622
Cl 5.1024 1.8460 3.8509
```

- formation energy without anion corrections (eV/atom) = -0.3555
- space group = P-1 (2)

---

Entry from the Alexandria database: crystalline TeCl at its relaxed geometry (PBE).

extended XYZ file:
```
4
Lattice="3.4189 0.0000 0.0000 -1.7095 2.9609 0.0000 0.0000 0.0000 9.6716" Properties=species:S:1:pos:R:3 pbc="T T T"
Te 0.0000 1.9739 2.4179
Te 1.7095 0.9870 7.2537
Cl 0.0000 0.0000 0.0000
Cl 0.0000 0.0000 4.8358
```

- formation energy without anion corrections (eV/atom) = 0.1750
- space group = P6_3/mmc (194)

---

Entry from the Alexandria database: crystalline TeCl2 at its relaxed geometry (PBE).

extended XYZ file:
```
3
Lattice="-1.6483 1.6483 7.0854 1.6483 -1.6483 7.0854 1.6483 1.6483 -7.0854" Properties=species:S:1:pos:R:3 pbc="T T T"
Te 0.0000 0.0000 0.0000
Cl 0.0000 0.0000 5.1340
Cl 0.0000 0.0000 9.0367
```

- formation energy without anion corrections (eV/atom) = 0.1418
- space group = I4/mmm (139)

---

Entry from the Alexandria database: crystalline TeCl at its relaxed geometry (PBE).

extended XYZ file:
```
2
Lattice="3.2298 0.0000 0.0000 0.0000 3.2298 0.0000 0.0000 0.0000 4.6437" Properties=species:S:1:pos:R:3 pbc="T T T"
Te 0.0000 0.0000 0.0000
Cl 1.6149 1.6149 2.3218
```

- formation energy without anion corrections (eV/atom) = 0.2047
- space group = P4/mmm (123)

---

Entry from the Alexandria database: crystalline TeCl at its relaxed geometry (PBE).

extended XYZ file:
```
12
Lattice="12.4613 0.0000 0.0000 0.0000 5.2823 0.0000 0.0000 0.0000 6.6608" Properties=species:S:1:pos:R:3 pbc="T T T"
Te 0.0000 0.1455 0.0000
Te 3.0128 0.0174 6.4482
Te 3.2179 5.2649 3.1178
Te 6.2306 5.1368 3.3304
Te 9.2434 5.2649 3.1178
Te 9.4485 0.0174 6.4482
Cl 0.0000 3.9392 4.8284
Cl 2.9138 2.6098 3.0982
Cl 3.3168 2.6725 6.4286
Cl 6.2306 1.3431 1.4980
Cl 9.1445 2.6725 6.4286
Cl 9.5475 2.6098 3.0982
```

- formation energy without anion corrections (eV/atom) = -0.1739
- space group = Pmn2_1 (31)

---

Entry from the Alexandria database: crystalline Te6Cl at its relaxed geometry (PBE).

extended XYZ file:
```
7
Lattice="-4.3286 4.3286 4.3286 4.3286 -4.3286 4.3286 4.3286 4.3286 -4.3286" Properties=species:S:1:pos:R:3 pbc="T T T"
Te 4.3286 2.1643 0.0000
Te 4.3286 0.0000 2.1643
Te 2.1643 4.3286 0.0000
Te 2.1643 0.0000 4.3286
Te 0.0000 4.3286 2.1643
Te 0.0000 2.1643 4.3286
Cl 0.0000 0.0000 0.0000
```

- formation energy without anion corrections (eV/atom) = 0.3830
- space group = Im-3m (229)

---

Entry from the Alexandria database: crystalline TeCl2 at its relaxed geometry (PBE).

extended XYZ file:
```
6
Lattice="7.4728 -1.9101 0.0000 7.4728 1.9101 0.0000 -4.9086 0.0000 7.6332" Properties=species:S:1:pos:R:3 pbc="T T T"
Te -1.1970 0.0000 1.9227
Te 11.2339 0.0000 5.7104
Cl 1.9336 0.0000 5.6038
Cl 4.4489 0.0000 1.8164
Cl 5.5880 0.0000 5.8168
Cl 8.1033 0.0000 2.0294
```

- formation energy without anion corrections (eV/atom) = -0.3068
- space group = C2/m (12)